A | Below is crystalline CsRu3N at its relaxed geometry, with properties calculated at the PBE-GGA level. Values from VASP.

Quantum ESPRESSO input file:
```
&SYSTEM
  ibrav = 0, nat = 5, ntyp = 3
/
ATOMIC_SPECIES
Cs 132.91 Cs.upf
Ru 101.07 Ru.upf
N 14.01 N.upf
CELL_PARAMETERS angstrom
5.0085 0.0000 0.0000
0.0000 5.0085 0.0000
0.0000 0.0000 5.0085
ATOMIC_POSITIONS crystal
Cs 0.0000 0.0000 0.0000
Ru 0.0000 0.5000 0.0000
Ru 0.0000 0.0000 0.5000
Ru 0.5000 0.0000 0.0000
N 0.5000 0.5000 0.5000
```

Results
- crystal system = cubic
- space-group type = Pm-3m
- DOS at the Fermi energy (states/eV/f.u.) = 5.83
- volume (Å³ per cell) = 125.6

B | Below is crystalline CsRu3N at its relaxed geometry, with properties calculated at the PBE-GGA level. Values from VASP.

Quantum ESPRESSO input file:
```
&SYSTEM
  ibrav = 0, nat = 5, ntyp = 3
/
ATOMIC_SPECIES
Cs 132.91 Cs.upf
Ru 101.07 Ru.upf
N 14.01 N.upf
CELL_PARAMETERS angstrom
-2.6653 -3.2211 -0.9382
2.9988 -1.7500 -2.5109
1.5044 -2.2185 3.3429
ATOMIC_POSITIONS crystal
Cs 0.5000 0.5000 0.5000
Ru 0.0000 0.5000 0.0000
Ru 0.0000 0.0000 0.5000
Ru 0.5000 0.0000 0.0000
N 0.0000 0.0000 0.0000
```

Results
- crystal system = cubic
- space-group type = Pm-3m
- DOS at the Fermi energy (states/eV/f.u.) = 4.48
- volume (Å³ per cell) = 78.7

The energetic minimum among the shown structures is B; the next structure lies 2592 meV per atom above.